Entry 1:
Entry from Alexandria via LeMat-Bulk: Pm5Dy12Tm after structural relaxation (PBE).

The structure belongs to space group C2/m (No. 12); the cell edges are 18.5336, 10.6996 and 6.1744 Å and the angles 90.00°, 109.31° and 90.00°. Symmetry generates all atoms from Pm at (0.0000, 0.0000, 0.0000), Pm at (0.1659, 0.5000, 0.9984), Pm at (0.1667, 0.0000, 0.5007), Dy at (0.0000, 0.1688, 0.5000), Dy at (0.0000, 0.3337, 0.0000), Dy at (0.1658, 0.3332, 0.4990), Dy at (0.1667, 0.1679, 0.0009) and Tm at (0.0000, 0.5000, 0.5000).

For the density of states at the Fermi level, the calculation gives 45.368 states/eV/cell. The calculation puts the formation energy at 0.0175 eV/atom. The total DFT energy (no corrections) comes out at -4.619 eV/atom. Its crystal system is monoclinic.


Entry 2:
Entry from Alexandria via LeMat-Bulk: TiBi2OsPb after structural relaxation (PBE).

The structure belongs to space group P4/mmm (No. 123); the cell edges are 5.3980, 5.3980 and 4.8366 Å and the angles 90.00°, 90.00° and 90.00°. Symmetry generates all atoms from Ti at (0.0000, 0.0000, 0.0000), Bi at (0.0000, 0.5000, 0.5000), Os at (0.0000, 0.0000, 0.5000) and Pb at (0.5000, 0.5000, 0.0000).

For the density of states at the Fermi level, the calculation gives 8.972 states/eV/cell. The calculation puts the formation energy at 0.6402 eV/atom. The total DFT energy (no corrections) comes out at -5.479 eV/atom. Its crystal system is tetragonal.


Entry 3:
Entry from Alexandria via LeMat-Bulk: PmDy5YEr2 after structural relaxation (PBE).

The structure belongs to space group Cmc2_1 (No. 36); the cell edges are 5.5947, 19.9216 and 10.5582 Å and the angles 90.00°, 90.00° and 90.00°. Symmetry generates all atoms from Pm at (0.0000, 0.2005, 0.0000), Dy at (0.0000, 0.0170, 0.0139), Dy at (0.0000, 0.2806, 0.2956), Dy at (0.0000, 0.3002, 0.6958), Dy at (0.0000, 0.3928, 0.0130), Dy at (0.0000, 0.4780, 0.7263), Y at (0.0000, 0.4134, 0.4416), Er at (0.0000, 0.1095, 0.7255) and Er at (0.0000, 0.1134, 0.3068).

For the density of states at the Fermi level, the calculation gives 57.033 states/eV/cell. The calculation puts the formation energy at 0.1613 eV/atom. The total DFT energy (no corrections) comes out at -4.655 eV/atom. Its crystal system is orthorhombic.


Entry 4:
Entry from Alexandria via LeMat-Bulk: CsSiHgTe4 after structural relaxation (PBE).

The structure belongs to space group P2_1/m (No. 11); the cell edges are 7.3856, 7.2366 and 11.2850 Å and the angles 90.00°, 106.24° and 90.00°. Symmetry generates all atoms from Cs at (0.2092, 0.2500, 0.0349), Si at (0.2318, 0.7500, 0.3056), Hg at (0.2649, 0.2500, 0.6661), Te at (0.0042, 0.0166, 0.2955), Te at (0.3756, 0.7500, 0.1278) and Te at (0.4850, 0.2500, 0.4966).

For the uncorrected formation energy, the calculation gives -0.298 eV/atom. For the density of states at the Fermi level, the calculation gives 2.542 states/eV/cell. The total DFT energy (no corrections) comes out at -3.033 eV/atom. Its crystal system is monoclinic.


Entry 5:
Entry from Alexandria via LeMat-Bulk: Sr2BeP after structural relaxation (PBE).

The structure belongs to space group I-42d (No. 122); the cell edges are 8.1546, 8.1546 and 7.7087 Å and the angles 90.00°, 90.00° and 90.00°. Symmetry generates all atoms from Sr at (0.2254, 0.2500, 0.1250), Be at (0.0000, 0.0000, 0.5000) and P at (0.0000, 0.0000, 0.0000).

For the density of states at the Fermi level, the calculation gives 3.485 states/eV/cell. The calculation puts the formation energy at 0.1172 eV/atom. For the excess energy over the best structure of this formula in the dataset, the calculation gives 560 meV/atom. The total DFT energy (no corrections) comes out at -3.008 eV/atom. Its crystal system is tetragonal.


Entry 6:
Entry from Alexandria via LeMat-Bulk: Sr2PdRhN after structural relaxation (PBE).

The structure belongs to space group P4/mmm (No. 123); the cell edges are 5.4130, 5.4130 and 3.7876 Å and the angles 90.00°, 90.00° and 90.00°. Symmetry generates all atoms from Sr at (0.0000, 0.5000, 0.0000), Pd at (0.0000, 0.0000, 0.5000), Rh at (0.5000, 0.5000, 0.5000) and N at (0.5000, 0.5000, 0.0000).

For the uncorrected formation energy, the calculation gives -0.529 eV/atom. For the density of states at the Fermi level, the calculation gives 2.582 states/eV/cell. The total DFT energy (no corrections) comes out at -5.375 eV/atom. Its crystal system is tetragonal.


Entry 7:
Entry from Alexandria via LeMat-Bulk: LiFe2Si after structural relaxation (PBE).

The structure belongs to space group R-3m (No. 166, hexagonal axes); the cell edges are 2.5927, 2.5927 and 25.3180 Å and the angles 90.00°, 90.00° and 120.00°. Symmetry generates all atoms from Li at (0.0000, 0.0000, 0.0000), Fe at (0.0000, 0.0000, 0.2441) and Si at (0.0000, 0.0000, 0.5000).

For the uncorrected formation energy, the calculation gives 0.066 eV/atom. For the density of states at the Fermi level, the calculation gives 9.710 states/eV/cell. The total DFT energy (no corrections) comes out at -6.000 eV/atom. Its crystal system is trigonal.


Entry 8:
Entry from Alexandria via LeMat-Bulk: YBi2H after structural relaxation (PBE).

The structure belongs to space group Fm-3m (No. 225); the cell edges are 7.4707, 7.4707 and 7.4707 Å and the angles 90.00°, 90.00° and 90.00°. Symmetry generates all atoms from Y at (0.0000, 0.0000, 0.0000), Bi at (0.2500, 0.2500, 0.2500) and H at (0.0000, 0.0000, 0.5000).

For the density of states at the Fermi level, the calculation gives 13.155 states/eV/cell. For the excess energy over the best structure of this formula in the dataset, the calculation gives 361 meV/atom. The total DFT energy (no corrections) comes out at -4.119 eV/atom. Its crystal system is cubic.


Entry 9:
Entry from Alexandria via LeMat-Bulk: LiHgGe2F after structural relaxation (PBE).

The structure belongs to space group P4/mmm (No. 123); the cell edges are 5.3000, 5.3000 and 3.3871 Å and the angles 90.00°, 90.00° and 90.00°. Symmetry generates all atoms from Li at (0.0000, 0.0000, 0.0000), Hg at (0.5000, 0.5000, 0.0000), Ge at (0.0000, 0.5000, 0.5000) and F at (0.0000, 0.0000, 0.5000).

For the uncorrected formation energy, the calculation gives -0.517 eV/atom. For the density of states at the Fermi level, the calculation gives 1.152 states/eV/cell. The total DFT energy (no corrections) comes out at -3.182 eV/atom. Its crystal system is tetragonal.


Entry 10:
Entry from Alexandria via LeMat-Bulk: NaPSe2 after structural relaxation (PBE).

The structure belongs to space group P1 (No. 1); the cell edges are 4.9951, 6.9115 and 7.4530 Å and the angles 67.24°, 86.48° and 82.81°. Symmetry generates all atoms from Na at (0.0000, 0.0000, 0.0000), Na at (0.4547, 0.7717, 0.6049), P at (0.0272, 0.3319, 0.4232), P at (0.6971, 0.4606, 0.1774), Se at (0.3735, 0.2294, 0.2488), Se at (0.5289, 0.7617, 0.1990), Se at (0.8537, 0.4742, 0.8924) and Se at (0.9245, 0.0088, 0.6132).

For the uncorrected formation energy, the calculation gives -0.479 eV/atom. The total DFT energy (no corrections) comes out at -3.904 eV/atom. Its crystal system is triclinic.


Entry 11:
Entry from Alexandria via LeMat-Bulk: NiC2 after structural relaxation (PBE).

The structure belongs to space group R3m (No. 160, hexagonal axes); the cell edges are 2.4859, 2.4859 and 16.2952 Å and the angles 90.00°, 90.00° and 120.00°. Symmetry generates all atoms from Ni at (0.0000, 0.0000, 0.0000), C at (0.0000, 0.0000, 0.5356) and C at (0.0000, 0.0000, 0.8703).

For the density of states at the Fermi level, the calculation gives 3.881 states/eV/cell. The calculation puts the formation energy at 0.4706 eV/atom. For the excess energy over the best structure of this formula in the dataset, the calculation gives 52 meV/atom. The total DFT energy (no corrections) comes out at -7.606 eV/atom. Its crystal system is trigonal.